No. 1
Below is a relaxed Dy2PbSe crystal, with properties calculated at the PBE level.

Cell lengths 3.5412, 3.5412, 8.0369 Å; angles 90.00, 90.00, 90.00 degrees
With the nearest neighbours (Å) after each atom.
Sites, in units of the cell vectors:
Pb 0.5000 0.5000 0.5000  8 Dy 3.34, 4 Pb 3.54
Se 0.5000 0.5000 0.0000  8 Dy 3.09
Dy 0.0000 0.0000 0.7753  4 Se 3.09, 4 Pb 3.34
Dy 0.0000 0.0000 0.2247  4 Se 3.09, 4 Pb 3.34

Summary:
energy relative to the elements, uncorrected	-0.95	eV per atom
energy relative to the lowest polymorph listed for this composition	149.6	meV/atom
space group	P4/mmm (123)
spin magnetization	0.44	μB per formula unit
N(E_F)	3.389	states/eV/cell
theoretical density	10.07	g/cm3

No. 2
Below is a relaxed Dy3Pb5Se12 crystal, with properties calculated at the PBE level.

Cell lengths 14.7366, 14.7366, 14.7366 Å; angles 109.47, 109.47, 109.47 degrees
With the nearest neighbours (Å) after each atom.
Sites, in units of the cell vectors:
Dy 0.7500 0.3750 0.1250  8 Se 3.07-3.09
Dy 0.8750 0.7500 0.1250  8 Se 3.07-3.09
Dy 0.3750 0.7500 0.6250  8 Se 3.07-3.09
Dy 0.2500 0.1250 0.3750  8 Se 3.07-3.09
Dy 0.8750 0.1250 0.2500  8 Se 3.07-3.09
Dy 0.3750 0.6250 0.2500  8 Se 3.07-3.09
Dy 0.6250 0.3750 0.7500  8 Se 3.07-3.09
Dy 0.1250 0.8750 0.7500  8 Se 3.07-3.09
Dy 0.7500 0.8750 0.6250  8 Se 3.07-3.09
Dy 0.6250 0.2500 0.3750  8 Se 3.07-3.09
Dy 0.1250 0.2500 0.8750  8 Se 3.07-3.09
Dy 0.2500 0.6250 0.8750  8 Se 3.07-3.09
Pb 0.1250 0.3750 0.2500  4 Se 2.77
Pb 0.0000 0.5000 0.0000  6 Se 2.95
Pb 0.0000 0.0000 0.0000  6 Se 2.95
Pb 0.3750 0.2500 0.1250  4 Se 2.77
Pb 0.5000 0.0000 0.5000  6 Se 2.95
Pb 0.5000 0.5000 0.0000  6 Se 2.95
Pb 0.1250 0.7500 0.3750  4 Se 2.77
Pb 0.7500 0.1250 0.8750  4 Se 2.77
Pb 0.7500 0.6250 0.3750  4 Se 2.77
Pb 0.3750 0.1250 0.7500  4 Se 2.77
Pb 0.6250 0.8750 0.2500  4 Se 2.77
Pb 0.5000 0.5000 0.5000  6 Se 2.95
Pb 0.5000 0.0000 0.0000  6 Se 2.95
Pb 0.0000 0.0000 0.5000  6 Se 2.95
Pb 0.2500 0.3750 0.6250  4 Se 2.77
Pb 0.2500 0.8750 0.1250  4 Se 2.77
Pb 0.0000 0.5000 0.5000  6 Se 2.95
Pb 0.8750 0.2500 0.6250  4 Se 2.77
Pb 0.6250 0.7500 0.8750  4 Se 2.77
Pb 0.8750 0.6250 0.7500  4 Se 2.77
Se 0.7294 0.1439 0.0597  2 Pb 2.77-2.95, 2 Dy 3.07-3.09
Se 0.3303 0.5597 0.4158  2 Pb 2.77-2.95, 2 Dy 3.07-3.09
Se 0.9403 0.3561 0.2706  2 Pb 2.77-2.95, 2 Dy 3.07-3.09
Se 0.5597 0.2294 0.1439  2 Pb 2.77-2.95, 2 Dy 3.07-3.09
Se 0.5856 0.7294 0.6697  2 Pb 2.77-2.95, 2 Dy 3.07-3.09
Se 0.9403 0.5842 0.1697  2 Pb 2.77-2.95, 2 Dy 3.07-3.09
Se 0.3303 0.7706 0.4144  2 Pb 2.77-2.95, 2 Dy 3.07-3.09
Se 0.0842 0.9144 0.1439  2 Pb 2.77-2.95, 2 Dy 3.07-3.09
Se 0.5842 0.9403 0.6697  2 Pb 2.77-2.95, 2 Dy 3.07-3.09
Se 0.7294 0.5856 0.1697  2 Pb 2.77-2.95, 2 Dy 3.07-3.09
Se 0.7706 0.4403 0.3561  2 Pb 2.77-2.95, 2 Dy 3.07-3.09
Se 0.8303 0.9158 0.0597  2 Pb 2.77-2.95, 2 Dy 3.07-3.09
Se 0.1439 0.7294 0.5597  2 Pb 2.77-2.95, 2 Dy 3.07-3.09
Se 0.3561 0.4158 0.0856  2 Pb 2.77-2.95, 2 Dy 3.07-3.09
Se 0.0856 0.9158 0.3561  2 Pb 2.77-2.95, 2 Dy 3.07-3.09
Se 0.4144 0.1439 0.5842  2 Pb 2.77-2.95, 2 Dy 3.07-3.09
Se 0.0856 0.1697 0.2294  2 Pb 2.77-2.95, 2 Dy 3.07-3.09
Se 0.4403 0.6697 0.0842  2 Pb 2.77-2.95, 2 Dy 3.07-3.09
Se 0.8303 0.9144 0.2706  2 Pb 2.77-2.95, 2 Dy 3.07-3.09
Se 0.1439 0.4144 0.0842  2 Pb 2.77-2.95, 2 Dy 3.07-3.09
Se 0.3561 0.9403 0.7706  2 Pb 2.77-2.95, 2 Dy 3.07-3.09
Se 0.5842 0.6439 0.4144  2 Pb 2.77-2.95, 2 Dy 3.07-3.09
Se 0.9158 0.8303 0.5597  2 Pb 2.77-2.95, 2 Dy 3.07-3.09
Se 0.7706 0.3303 0.9144  2 Pb 2.77-2.95, 2 Dy 3.07-3.09
Se 0.4158 0.3561 0.5856  2 Pb 2.77-2.95, 2 Dy 3.07-3.09
Se 0.0842 0.1697 0.4403  2 Pb 2.77-2.95, 2 Dy 3.07-3.09
Se 0.2294 0.6697 0.0856  2 Pb 2.77-2.95, 2 Dy 3.07-3.09
Se 0.1697 0.0856 0.7294  2 Pb 2.77-2.95, 2 Dy 3.07-3.09
Se 0.6439 0.0597 0.2294  2 Pb 2.77-2.95, 2 Dy 3.07-3.09
Se 0.8561 0.5856 0.9158  2 Pb 2.77-2.95, 2 Dy 3.07-3.09
Se 0.5597 0.3303 0.9158  2 Pb 2.77-2.95, 2 Dy 3.07-3.09
Se 0.5856 0.8561 0.4158  2 Pb 2.77-2.95, 2 Dy 3.07-3.09
Se 0.9144 0.8303 0.7706  2 Pb 2.77-2.95, 2 Dy 3.07-3.09
Se 0.9144 0.0842 0.6439  2 Pb 2.77-2.95, 2 Dy 3.07-3.09
Se 0.8561 0.2706 0.4403  2 Pb 2.77-2.95, 2 Dy 3.07-3.09
Se 0.1697 0.0842 0.9403  2 Pb 2.77-2.95, 2 Dy 3.07-3.09
Se 0.6439 0.5842 0.9144  2 Pb 2.77-2.95, 2 Dy 3.07-3.09
Se 0.4158 0.0597 0.3303  2 Pb 2.77-2.95, 2 Dy 3.07-3.09
Se 0.2706 0.4144 0.8303  2 Pb 2.77-2.95, 2 Dy 3.07-3.09
Se 0.2294 0.5597 0.6439  2 Pb 2.77-2.95, 2 Dy 3.07-3.09
Se 0.9158 0.0856 0.8561  2 Pb 2.77-2.95, 2 Dy 3.07-3.09
Se 0.6697 0.2294 0.5856  2 Pb 2.77-2.95, 2 Dy 3.07-3.09
Se 0.4403 0.7706 0.8561  2 Pb 2.77-2.95, 2 Dy 3.07-3.09
Se 0.0597 0.4158 0.8303  2 Pb 2.77-2.95, 2 Dy 3.07-3.09
Se 0.4144 0.2706 0.3303  2 Pb 2.77-2.95, 2 Dy 3.07-3.09
Se 0.0597 0.6439 0.7294  2 Pb 2.77-2.95, 2 Dy 3.07-3.09
Se 0.6697 0.4403 0.5842  2 Pb 2.77-2.95, 2 Dy 3.07-3.09
Se 0.2706 0.8561 0.9403  2 Pb 2.77-2.95, 2 Dy 3.07-3.09

Summary:
energy relative to the elements, uncorrected	-0.76	eV per atom
space group	Ia-3d (230)
spin magnetization	0.00	μB per formula unit
N(E_F)	36.244	states/eV/cell
theoretical density	6.66	g/cm3

No. 3
Below is a relaxed Dy6PbSe5 crystal, with properties calculated at the PBE level.

Cell lengths 7.2066, 7.1656, 7.1645 Å; angles 59.99, 80.45, 70.62 degrees
With the nearest neighbours (Å) after each atom.
Sites, in units of the cell vectors:
Pb 0.0000 0.0000 0.0000  6 Dy 3.01
Se 0.5000 0.1628 0.6745  6 Dy 2.88-2.92
Se 0.0000 0.3321 0.3359  6 Dy 2.93-2.94
Se 0.5000 0.5000 0.0000  6 Dy 2.86-2.92
Se 0.0000 0.6679 0.6641  6 Dy 2.93-2.94
Se 0.5000 0.8372 0.3255  6 Dy 2.88-2.92
Dy 0.7413 0.0862 0.3419  5 Se 2.88-2.94, 1 Pb 3.01
Dy 0.2587 0.5719 0.3419  5 Se 2.88-2.94, 1 Pb 3.01
Dy 0.2551 0.2575 0.0000  5 Se 2.86-2.94, 1 Pb 3.01
Dy 0.7449 0.7425 0.0000  5 Se 2.86-2.94, 1 Pb 3.01
Dy 0.7413 0.4281 0.6581  5 Se 2.88-2.94, 1 Pb 3.01
Dy 0.2587 0.9138 0.6581  5 Se 2.88-2.94, 1 Pb 3.01

Summary:
energy relative to the elements, uncorrected	-1.54	eV per atom
space group	C2/m (12)
spin magnetization	0.00	μB per formula unit
N(E_F)	4.683	states/eV/cell
theoretical density	8.66	g/cm3

No. 4
Below is a relaxed Dy2PbSe4 crystal, with properties calculated at the PBE level.

Cell lengths 4.1325, 12.9099, 14.8894 Å; angles 90.00, 90.00, 90.00 degrees
With the nearest neighbours (Å) after each atom.
Sites, in units of the cell vectors:
Dy 0.7500 0.0591 0.8846  6 Se 2.83-2.90
Dy 0.2500 0.9409 0.1154  6 Se 2.83-2.90
Dy 0.7500 0.5591 0.6154  6 Se 2.83-2.90
Dy 0.2500 0.4409 0.3846  6 Se 2.83-2.90
Dy 0.2500 0.4111 0.9096  6 Se 2.85-2.94
Dy 0.7500 0.5889 0.0904  6 Se 2.85-2.94
Dy 0.2500 0.9111 0.5904  6 Se 2.85-2.94
Dy 0.7500 0.0889 0.4096  6 Se 2.85-2.94
Pb 0.2500 0.7394 0.3256  5 Se 3.01-3.20
Pb 0.7500 0.2606 0.6744  5 Se 3.01-3.20
Pb 0.2500 0.2394 0.1744  5 Se 3.01-3.20
Pb 0.7500 0.7606 0.8256  5 Se 3.01-3.20
Se 0.7500 0.0906 0.0738  3 Dy 2.85-2.90
Se 0.2500 0.9094 0.9262  3 Dy 2.85-2.90
Se 0.7500 0.5906 0.4262  3 Dy 2.85-2.90
Se 0.2500 0.4094 0.5738  3 Dy 2.85-2.90
Se 0.7500 0.9565 0.7163  3 Dy 2.83-2.85, 1 Pb 3.01
Se 0.2500 0.0435 0.2837  3 Dy 2.83-2.85, 1 Pb 3.01
Se 0.7500 0.4565 0.7837  3 Dy 2.83-2.85, 1 Pb 3.01
Se 0.2500 0.5435 0.2163  3 Dy 2.83-2.85, 1 Pb 3.01
Se 0.7500 0.3750 0.0385  3 Dy 2.86-2.87
Se 0.2500 0.6250 0.9615  3 Dy 2.86-2.87
Se 0.7500 0.8750 0.4615  3 Dy 2.86-2.87
Se 0.2500 0.1250 0.5385  3 Dy 2.86-2.87
Se 0.2500 0.2024 0.8307  3 Dy 2.89-2.94, 2 Pb 3.20
Se 0.7500 0.7976 0.1693  3 Dy 2.89-2.94, 2 Pb 3.20
Se 0.2500 0.7024 0.6693  3 Dy 2.89-2.94, 2 Pb 3.20
Se 0.7500 0.2976 0.3307  3 Dy 2.89-2.94, 2 Pb 3.20

Summary:
energy relative to the elements, uncorrected	-1.49	eV per atom
energy relative to the lowest polymorph listed for this composition	0.0	meV/atom
space group	Pnma (62)
spin magnetization	0.00	μB per formula unit
N(E_F)	0.000	states/eV/cell
theoretical density	7.09	g/cm3

No. 5
Below is a relaxed DyPbSe3 crystal, with properties calculated at the PBE level.

Cell lengths 5.6220, 8.2035, 7.7394 Å; angles 103.44, 90.00, 110.04 degrees
With the nearest neighbours (Å) after each atom.
Sites, in units of the cell vectors:
Dy 0.8487 0.6974 0.1037  6 Se 2.75-2.94
Dy 0.1513 0.3026 0.8963  6 Se 2.75-2.94
Pb 0.6434 0.2867 0.3372  4 Se 2.89-3.23
Pb 0.3566 0.7133 0.6628  4 Se 2.89-3.23
Se 0.8364 0.6728 0.4518  1 Dy 2.75, 1 Pb 2.89
Se 0.3376 0.6752 0.0458  3 Dy 2.82-2.84, 1 Pb 3.05
Se 0.9572 0.9143 0.8397  1 Se 2.51
Se 0.1636 0.3272 0.5482  1 Dy 2.75, 1 Pb 2.89
Se 0.0428 0.0857 0.1603  1 Se 2.51
Se 0.6624 0.3248 0.9542  3 Dy 2.82-2.84, 1 Pb 3.05

Summary:
energy relative to the elements, uncorrected	-1.09	eV per atom
space group	C2/m (12)
spin magnetization	0.00	μB per formula unit
theoretical density	6.20	g/cm3

No. 6
Below is a relaxed Dy6Si2PbSe3 crystal, with properties calculated at the PBE level.

Cell lengths 4.1326, 8.4345, 9.3441 Å; angles 103.20, 102.78, 90.00 degrees
With the nearest neighbours (Å) after each atom.
Sites, in units of the cell vectors:
Dy 0.3282 0.8999 0.6564  2 Si 2.88, 3 Se 2.89-3.05, 1 Pb 3.05
Dy 0.6717 0.5748 0.3434  3 Si 2.86-2.88, 3 Se 3.02-3.04
Dy 0.6718 0.1001 0.3436  2 Si 2.88, 3 Se 2.89-3.05, 1 Pb 3.05
Dy 0.0049 0.2645 0.0099  1 Si 2.87, 3 Se 2.88-3.02, 2 Pb 3.03
Dy 0.9951 0.7355 0.9901  1 Si 2.87, 3 Se 2.88-3.02, 2 Pb 3.03
Dy 0.3283 0.4252 0.6566  3 Si 2.86-2.88, 3 Se 3.02-3.04
Si 0.8331 0.6653 0.6662  6 Dy 2.86-2.88
Si 0.1669 0.3347 0.3338  6 Dy 2.86-2.88
Pb 0.5000 0.0000 0.0000  6 Dy 3.03-3.05
Se 0.5000 0.5000 0.0000  6 Dy 2.88-3.04
Se 0.8347 0.1681 0.6693  6 Dy 2.89-3.05
Se 0.1653 0.8319 0.3307  6 Dy 2.89-3.05

Summary:
energy relative to the elements, uncorrected	-1.23	eV per atom
space group	C2/m (12)
spin magnetization	0.00	μB per formula unit
N(E_F)	3.122	states/eV/cell
theoretical density	7.93	g/cm3

No. 7
Below is a relaxed Dy4SiPbSe2 crystal, with properties calculated at the PBE level.

Cell lengths 4.1396, 7.2993, 7.3369 Å; angles 70.99, 90.00, 90.00 degrees
With the nearest neighbours (Å) after each atom.
Sites, in units of the cell vectors:
Dy 0.0000 0.7530 0.7339  1 Si 2.90, 3 Se 2.91-3.06, 2 Pb 3.03
Dy 0.0000 0.2470 0.2661  1 Si 2.90, 3 Se 2.91-3.06, 2 Pb 3.03
Dy 0.5000 0.7415 0.2646  2 Si 2.90, 3 Se 2.94-3.04, 1 Pb 3.02
Dy 0.5000 0.2585 0.7354  2 Si 2.90, 3 Se 2.94-3.04, 1 Pb 3.02
Si 0.0000 0.5000 0.5000  6 Dy 2.90
Pb 0.5000 0.5000 0.0000  6 Dy 3.02-3.03
Se 0.0000 0.0000 0.0000  6 Dy 3.04-3.06
Se 0.5000 0.0000 0.5000  6 Dy 2.91-2.94

Summary:
energy relative to the elements, uncorrected	-1.18	eV per atom
space group	P2/m (10)
spin magnetization	0.00	μB per formula unit
N(E_F)	2.613	states/eV/cell
theoretical density	8.26	g/cm3

No. 8
Below is a relaxed SmDyPbSe crystal, with properties calculated at the PBE level.

Cell lengths 4.3424, 4.3431, 6.0903 Å; angles 90.02, 90.00, 90.00 degrees
With the nearest neighbours (Å) after each atom.
Sites, in units of the cell vectors:
Sm 0.0000 0.8916 0.5921  2 Se 3.04-3.05, 4 Pb 3.07
Dy 0.5000 0.3914 0.0927  2 Pb 3.05, 4 Se 3.07
Pb 0.5000 0.3916 0.5927  2 Dy 3.05, 4 Sm 3.07
Se 0.0000 0.8915 0.0922  2 Sm 3.04-3.05, 4 Dy 3.07

Summary:
energy relative to the elements, uncorrected	-1.13	eV per atom
space group	P4/mmm (123)
spin magnetization	0.00	μB per formula unit
N(E_F)	0.680	states/eV/cell
theoretical density	8.66	g/cm3

No. 9
Below is a relaxed DySnPb2Se5 crystal, with properties calculated at the PBE level.

Cell lengths 4.2322, 9.4152, 13.5097 Å; angles 90.00, 90.00, 102.99 degrees
With the nearest neighbours (Å) after each atom.
Sites, in units of the cell vectors:
Dy 0.7876 0.5752 0.5212  6 Se 2.83-2.98
Dy 0.2124 0.4248 0.0212  6 Se 2.83-2.98
Sn 0.5427 0.0855 0.9462  4 Se 2.69-2.75
Sn 0.4573 0.9145 0.4462  4 Se 2.69-2.75
Pb 0.8692 0.7383 0.7976  5 Se 3.01-3.33
Pb 0.1208 0.2416 0.6626  3 Se 2.94-2.96
Pb 0.1308 0.2617 0.2976  5 Se 3.01-3.33
Pb 0.8792 0.7584 0.1626  3 Se 2.94-2.96
Se 0.3666 0.7333 0.0108  1 Dy 2.83, 2 Pb 2.96
Se 0.6843 0.3686 0.8802  1 Sn 2.75, 2 Dy 2.89
Se 0.4833 0.9665 0.7640  1 Sn 2.69, 2 Pb 3.01
Se 0.2809 0.5617 0.6675  2 Dy 2.90, 3 Pb 2.94-3.19
Se 0.9454 0.8908 0.5738  2 Sn 2.74, 1 Dy 2.98
Se 0.6334 0.2667 0.5108  1 Dy 2.83, 2 Pb 2.96
Se 0.3157 0.6314 0.3802  1 Sn 2.75, 2 Dy 2.89
Se 0.5167 0.0335 0.2640  1 Sn 2.69, 2 Pb 3.01
Se 0.7191 0.4383 0.1675  2 Dy 2.90, 3 Pb 2.94-3.19
Se 0.0546 0.1092 0.0738  2 Sn 2.74, 1 Dy 2.98

Summary:
energy relative to the elements, uncorrected	-0.81	eV per atom
space group	Cmc2_1 (36)
spin magnetization	0.00	μB per formula unit
N(E_F)	6.768	states/eV/cell
theoretical density	6.90	g/cm3

No. 10
Below is a relaxed Dy6Sn2PbSe3 crystal, with properties calculated at the PBE level.

Cell lengths 4.2454, 8.5538, 9.5551 Å; angles 104.23, 102.84, 90.00 degrees
With the nearest neighbours (Å) after each atom.
Sites, in units of the cell vectors:
Dy 0.3298 0.9199 0.6596  3 Se 2.94-2.99, 2 Sn 3.04, 1 Pb 3.07
Dy 0.6654 0.5861 0.3308  3 Se 2.98-2.99, 3 Sn 3.04
Dy 0.6702 0.0801 0.3404  3 Se 2.94-2.99, 2 Sn 3.04, 1 Pb 3.07
Dy 0.9977 0.2581 0.9955  3 Se 2.96, 1 Sn 3.04, 2 Pb 3.07
Dy 0.0023 0.7419 0.0045  3 Se 2.96, 1 Sn 3.04, 2 Pb 3.07
Dy 0.3346 0.4139 0.6692  3 Se 2.98-2.99, 3 Sn 3.04
Sn 0.8339 0.6679 0.6678  6 Dy 3.04
Sn 0.1661 0.3321 0.3322  6 Dy 3.04
Pb 0.5000 0.0000 0.0000  6 Dy 3.07
Se 0.5000 0.5000 0.0000  6 Dy 2.96-2.98
Se 0.8334 0.1675 0.6668  6 Dy 2.94-2.99
Se 0.1666 0.8325 0.3332  6 Dy 2.94-2.99

Summary:
energy relative to the elements, uncorrected	-1.18	eV per atom
space group	C2/m (12)
spin magnetization	0.00	μB per formula unit
N(E_F)	4.819	states/eV/cell
theoretical density	8.40	g/cm3

No. 11
Below is a relaxed Dy4SnPbSe2 crystal, with properties calculated at the PBE level.

Cell lengths 4.2339, 7.4736, 7.3142 Å; angles 70.95, 90.00, 90.00 degrees
With the nearest neighbours (Å) after each atom.
Sites, in units of the cell vectors:
Dy 0.0000 0.7618 0.7443  3 Se 2.96-2.97, 1 Sn 3.05, 2 Pb 3.07
Dy 0.0000 0.2382 0.2557  3 Se 2.96-2.97, 1 Sn 3.05, 2 Pb 3.07
Dy 0.5000 0.7595 0.2497  3 Se 2.95-2.98, 2 Sn 3.05, 1 Pb 3.07
Dy 0.5000 0.2405 0.7503  3 Se 2.95-2.98, 2 Sn 3.05, 1 Pb 3.07
Sn 0.0000 0.5000 0.5000  6 Dy 3.05
Pb 0.5000 0.5000 0.0000  6 Dy 3.07
Se 0.0000 0.0000 0.0000  6 Dy 2.97-2.98
Se 0.5000 0.0000 0.5000  6 Dy 2.95-2.96

Summary:
energy relative to the elements, uncorrected	-1.16	eV per atom
space group	P2/m (10)
spin magnetization	0.00	μB per formula unit
N(E_F)	3.913	states/eV/cell
theoretical density	8.61	g/cm3

No. 12
Below is a relaxed Sr2DyPbSe4 crystal, with properties calculated at the PBE level.

Cell lengths 4.3253, 7.5581, 7.4907 Å; angles 109.37, 90.00, 90.00 degrees
With the nearest neighbours (Å) after each atom.
Sites, in units of the cell vectors:
Sr 0.5000 0.0000 0.5000  6 Se 3.17-3.19
Sr 0.0000 0.5000 0.5000  6 Se 3.07-3.08
Dy 0.5000 0.5000 0.0000  6 Se 2.95-2.97
Pb 0.0000 0.0000 0.0000  6 Se 3.06-3.07
Se 0.5000 0.2590 0.2391  1 Dy 2.95, 2 Pb 3.06, 3 Sr 3.07-3.19
Se 0.5000 0.7410 0.7609  1 Dy 2.95, 2 Pb 3.06, 3 Sr 3.07-3.19
Se 0.0000 0.2654 0.7668  2 Dy 2.97, 1 Pb 3.07, 3 Sr 3.08-3.17
Se 0.0000 0.7346 0.2332  2 Dy 2.97, 1 Pb 3.07, 3 Sr 3.08-3.17

Summary:
energy relative to the elements, uncorrected	-1.55	eV per atom
space group	P2/m (10)
spin magnetization	0.00	μB per formula unit
N(E_F)	3.151	states/eV/cell
theoretical density	6.19	g/cm3